Entry 1:
This record from the Alexandria database describes a relaxed structure of MgZn2Hg. The functional is PBE-GGA.

a b c (Å): 3.6548 3.6548 5.6526
angles (deg): 90.00 90.00 90.00
With the nearest neighbours (Å) after each atom.
Space group P4/mmm (No. 123)
Unique sites:
Mg 0.0000 0.0000 0.0000 x1  2 Hg 2.83, 8 Zn 2.92
Zn 0.5000 0.5000 0.2423 x2  2 Zn 2.74-2.91, 4 Mg 2.92, 4 Hg 2.97
Hg 0.0000 0.0000 0.5000 x1  2 Mg 2.83, 8 Zn 2.97

Values from the calculation:
As for the energy above the most stable polymorph in this dataset: 0.603 kcal/mol of atoms. The formation energy comes out at -0.0061 eV per atom. The magnetization is 0.00 μB per atom.



Entry 2:
This record from the Alexandria database describes a relaxed structure of Mn2IrPd. The functional is PBE-GGA.

a b c (Å): 3.0097 3.0097 6.4763
angles (deg): 90.00 90.00 90.00
With the nearest neighbours (Å) after each atom.
Space group P4/mmm (No. 123)
Unique sites:
Mn 0.0000 0.0000 0.2428 x2  4 Ir 2.65, 4 Pd 2.70
Ir 0.5000 0.5000 0.0000 x1  8 Mn 2.65
Pd 0.5000 0.5000 0.5000 x1  8 Mn 2.70, 4 Pd 3.01

Values from the calculation:
The formation energy comes out at -0.1263 eV per atom. The magnetization is 2.11 μB per atom.